[1]
Below is an optimized crystal structure of Cu2SiAsPb, with properties calculated at the GGA-PBE level.

```
data_Cu2SiAsPb
_cell_length_a 4.4879
_cell_length_b 4.4879
_cell_length_c 5.4157
_cell_angle_alpha 90.00
_cell_angle_beta 90.00
_cell_angle_gamma 90.00
_space_group_name_H-M_alt 'P 4/m m m'
_space_group_IT_number 123
_space_group_name_Hall '-P 4 2'
loop_
_atom_site_label
_atom_site_fract_x
_atom_site_fract_y
_atom_site_fract_z
Cu1 0.0000 0.5000 0.0000
Si1 0.0000 0.0000 0.5000
As1 0.0000 0.0000 0.0000
Pb1 0.5000 0.5000 0.5000
```

Values from the calculation:
* DFT total energy: -3.8808 eV per atom
* formation energy from raw total energies: 514 meV per atom

[2]
Below is an optimized crystal structure of YCu2AsPb, with properties calculated at the GGA-PBE level.

```
data_YCu2AsPb
_cell_length_a 5.1444
_cell_length_b 5.1444
_cell_length_c 5.3846
_cell_angle_alpha 90.00
_cell_angle_beta 90.00
_cell_angle_gamma 90.00
_space_group_name_H-M_alt 'P 4/m m m'
_space_group_IT_number 123
_space_group_name_Hall '-P 4 2'
loop_
_atom_site_label
_atom_site_fract_x
_atom_site_fract_y
_atom_site_fract_z
Y1 0.0000 0.0000 0.0000
Cu1 0.0000 0.5000 0.0000
As1 0.0000 0.0000 0.5000
Pb1 0.5000 0.5000 0.5000
```

Values from the calculation:
* DFT total energy: -3.9965 eV per atom
* DFT formation energy: 606 meV per atom

[3]
Below is an optimized crystal structure of YCuAs2Pb, with properties calculated at the GGA-PBE level.

```
data_YCuAs2Pb
_cell_length_a 4.8327
_cell_length_b 4.8327
_cell_length_c 5.1329
_cell_angle_alpha 90.00
_cell_angle_beta 90.00
_cell_angle_gamma 90.00
_space_group_name_H-M_alt 'P 4/m m m'
_space_group_IT_number 123
_space_group_name_Hall '-P 4 2'
loop_
_atom_site_label
_atom_site_fract_x
_atom_site_fract_y
_atom_site_fract_z
Y1 0.0000 0.0000 0.0000
Cu1 0.5000 0.5000 0.5000
As1 0.0000 0.5000 0.5000
Pb1 0.5000 0.5000 0.0000
```

Values from the calculation:
* DFT total energy: -4.6817 eV per atom
* DFT formation energy: 32 meV per atom

[4]
Below is an optimized crystal structure of Zn2CuAsPb, with properties calculated at the GGA-PBE level.

```
data_Zn2CuAsPb
_cell_length_a 5.2517
_cell_length_b 5.2517
_cell_length_c 4.9812
_cell_angle_alpha 90.00
_cell_angle_beta 90.00
_cell_angle_gamma 90.00
_space_group_name_H-M_alt 'P 4/m m m'
_space_group_IT_number 123
_space_group_name_Hall '-P 4 2'
loop_
_atom_site_label
_atom_site_fract_x
_atom_site_fract_y
_atom_site_fract_z
Zn1 0.0000 0.5000 0.0000
Cu1 0.0000 0.0000 0.5000
As1 0.5000 0.5000 0.5000
Pb1 0.0000 0.0000 0.0000
```

Values from the calculation:
* DFT total energy: -2.0624 eV per atom
* DFT formation energy: 938 meV per atom

[5]
Below is an optimized crystal structure of ZnCuAs2Pb, with properties calculated at the GGA-PBE level.

```
data_ZnCuAs2Pb
_cell_length_a 4.7925
_cell_length_b 4.7925
_cell_length_c 5.4779
_cell_angle_alpha 90.00
_cell_angle_beta 90.00
_cell_angle_gamma 90.00
_space_group_name_H-M_alt 'P 4/m m m'
_space_group_IT_number 123
_space_group_name_Hall '-P 4 2'
loop_
_atom_site_label
_atom_site_fract_x
_atom_site_fract_y
_atom_site_fract_z
Zn1 0.0000 0.0000 0.0000
Cu1 0.5000 0.5000 0.5000
As1 0.0000 0.5000 0.0000
Pb1 0.0000 0.0000 0.5000
```

Values from the calculation:
* DFT total energy: -2.9084 eV per atom
* DFT formation energy: 767 meV per atom

[6]
Below is an optimized crystal structure of CuAs2Pd, with properties calculated at the GGA-PBE level.

```
data_CuAs2Pd
_cell_length_a 6.0666
_cell_length_b 6.0666
_cell_length_c 8.8902
_cell_angle_alpha 90.00
_cell_angle_beta 90.00
_cell_angle_gamma 90.00
_space_group_name_H-M_alt 'I -4 2 d'
_space_group_IT_number 122
_space_group_name_Hall 'I -4 2bw'
loop_
_atom_site_label
_atom_site_fract_x
_atom_site_fract_y
_atom_site_fract_z
Cu1 0.0000 0.0000 0.0000
As1 0.2418 0.2500 0.1250
Pd1 0.0000 0.0000 0.5000
```

Values from the calculation:
* DFT total energy: -4.5248 eV per atom
* DFT formation energy: 122 meV per atom

[7]
Below is an optimized crystal structure of CuAs2Pd, with properties calculated at the GGA-PBE level.

```
data_CuAs2Pd
_cell_length_a 3.1422
_cell_length_b 3.1422
_cell_length_c 25.2426
_cell_angle_alpha 90.00
_cell_angle_beta 90.00
_cell_angle_gamma 120.00
_space_group_name_H-M_alt 'R -3 m'
_space_group_IT_number 166
_space_group_name_Hall '-R 3 2"'
loop_
_atom_site_label
_atom_site_fract_x
_atom_site_fract_y
_atom_site_fract_z
Cu1 0.0000 0.0000 0.0000
As1 0.0000 0.0000 0.0922
Pd1 0.0000 0.0000 0.5000
```

Values from the calculation:
* DFT total energy: -4.5484 eV per atom
* DFT formation energy: 99 meV per atom

[8]
Below is an optimized crystal structure of CuAs2Pd6, with properties calculated at the GGA-PBE level.

```
data_CuAs2Pd6
_cell_length_a 5.4085
_cell_length_b 6.9088
_cell_length_c 8.6106
_cell_angle_alpha 90.00
_cell_angle_beta 117.24
_cell_angle_gamma 90.00
_space_group_name_H-M_alt 'P 1 21/c 1'
_space_group_IT_number 14
_space_group_name_Hall '-P 2ybc'
loop_
_atom_site_label
_atom_site_fract_x
_atom_site_fract_y
_atom_site_fract_z
Cu1 0.0000 0.0000 0.0000
As1 0.2145 0.0825 0.7808
Pd1 0.1432 0.1525 0.4656
Pd2 0.2464 0.7393 0.8856
Pd3 0.4446 0.0984 0.2783
```

Values from the calculation:
* DFT total energy: -5.1805 eV per atom
* DFT formation energy: -230 meV per atom

no.,DOS(E_F) (states/eV per atom)
1,0.5134
2,0.3670
3,0.5831
4,0.7009
5,0.4721
6,0.6772
7,0.5727
8,0.4140